No. 1
Compound: Er2IrO6
Source: Alexandria via LeMat-Bulk
Functional: PBE
Structure: optimized geometry

a = 5.384 Å, b = 5.709 Å, c = 8.947 Å
α = 90.00°, β = 119.78°, γ = 90.00°
Fractional coordinates of all 18 atoms:
Er  0.191  0.087  0.234
Er  0.191  0.413  0.734
Er  0.809  0.587  0.266
Er  0.809  0.913  0.766
Ir  0.500  0.000  0.000
Ir  0.500  0.500  0.500
O  0.151  0.175  0.947
O  0.151  0.325  0.447
O  0.254  0.726  0.903
O  0.254  0.774  0.403
O  0.442  0.081  0.775
O  0.442  0.419  0.275
O  0.558  0.581  0.725
O  0.558  0.919  0.225
O  0.746  0.226  0.597
O  0.746  0.274  0.097
O  0.849  0.675  0.553
O  0.849  0.825  0.053

Calculated values
N(E_F) ... 0.35 states/eV per atom
Space-group type ... P2_1/c, No. 14
Calculated total energy ... -0.2774 Ha/atom

No. 2
Compound: ErIr2O6
Source: Alexandria via LeMat-Bulk
Functional: PBE
Structure: optimized geometry

a = 5.241 Å, b = 5.241 Å, c = 4.780 Å
α = 90.00°, β = 90.00°, γ = 120.00°
Fractional coordinates of all 9 atoms:
Er  0.000  0.000  0.000
Ir  0.333  0.667  0.500
Ir  0.667  0.333  0.500
O  0.000  0.356  0.725
O  0.000  0.644  0.275
O  0.356  0.000  0.725
O  0.356  0.356  0.275
O  0.644  0.000  0.275
O  0.644  0.644  0.725

Calculated values
N(E_F) ... 0.50 states/eV per atom
Space-group type ... P-31m, No. 162
Calculated total energy ... -0.2667 Ha/atom

No. 3
Compound: ErIr2O8
Source: Alexandria via LeMat-Bulk
Functional: PBE
Structure: optimized geometry

a = 3.714 Å, b = 6.050 Å, c = 6.259 Å
α = 61.37°, β = 88.26°, γ = 86.48°
Fractional coordinates of all 11 atoms:
Er  0.000  0.000  0.000
Ir  0.500  0.264  0.473
Ir  0.500  0.736  0.527
O  0.000  0.259  0.481
O  0.000  0.741  0.519
O  0.105  0.578  0.999
O  0.491  0.336  0.751
O  0.492  0.085  0.248
O  0.508  0.915  0.752
O  0.509  0.664  0.249
O  0.895  0.422  0.001

Calculated values
N(E_F) ... 0.41 states/eV per atom
Space-group type ... P-1, No. 2
Calculated total energy ... -0.2411 Ha/atom

No. 4
Compound: Er4Ir2O
Source: Alexandria via LeMat-Bulk
Functional: PBE
Structure: optimized geometry

a = 4.468 Å, b = 4.468 Å, c = 14.683 Å
α = 90.00°, β = 90.00°, γ = 90.00°
Fractional coordinates of all 14 atoms:
Er  0.000  0.000  0.182
Er  0.000  0.000  0.818
Er  0.000  0.500  0.000
Er  0.000  0.500  0.500
Er  0.500  0.000  0.000
Er  0.500  0.000  0.500
Er  0.500  0.500  0.318
Er  0.500  0.500  0.682
Ir  0.000  0.000  0.369
Ir  0.000  0.000  0.631
Ir  0.500  0.500  0.131
Ir  0.500  0.500  0.869
O  0.000  0.000  0.000
O  0.500  0.500  0.500

Calculated values
N(E_F) ... 0.49 states/eV per atom
Space-group type ... I4/mmm, No. 139
Calculated total energy ... -0.2639 Ha/atom

No. 5
Compound: ErIrO
Source: Alexandria via LeMat-Bulk
Functional: PBE
Structure: optimized geometry

a = 15.809 Å, b = 3.463 Å, c = 3.475 Å
α = 90.00°, β = 90.00°, γ = 90.00°
Fractional coordinates of all 12 atoms:
Er  0.163  0.250  0.249
Er  0.337  0.750  0.749
Er  0.663  0.250  0.251
Er  0.837  0.750  0.751
Ir  0.003  0.750  0.250
Ir  0.497  0.250  0.750
Ir  0.503  0.750  0.250
Ir  0.997  0.250  0.750
O  0.194  0.750  0.747
O  0.306  0.250  0.247
O  0.694  0.750  0.753
O  0.806  0.250  0.253

Calculated values
N(E_F) ... 0.51 states/eV per atom
Space-group type ... Pnma, No. 62
Calculated total energy ... -0.2935 Ha/atom

No. 6
Compound: Er2Ir2O7
Source: Alexandria via LeMat-Bulk
Functional: PBE
Structure: optimized geometry

a = 7.208 Å, b = 7.208 Å, c = 7.208 Å
α = 60.00°, β = 60.00°, γ = 60.00°
Fractional coordinates of all 22 atoms:
Er  0.000  0.000  0.000
Er  0.000  0.000  0.500
Er  0.000  0.500  0.000
Er  0.500  0.000  0.000
Ir  0.000  0.500  0.500
Ir  0.500  0.000  0.500
Ir  0.500  0.500  0.000
Ir  0.500  0.500  0.500
O  0.125  0.125  0.125
O  0.161  0.161  0.589
O  0.161  0.589  0.161
O  0.161  0.589  0.589
O  0.411  0.411  0.839
O  0.411  0.839  0.411
O  0.411  0.839  0.839
O  0.589  0.161  0.161
O  0.589  0.161  0.589
O  0.589  0.589  0.161
O  0.839  0.411  0.411
O  0.839  0.411  0.839
O  0.839  0.839  0.411
O  0.875  0.875  0.875

Calculated values
N(E_F) ... 0.52 states/eV per atom
Space-group type ... Fd-3m, No. 227
Calculated total energy ... -0.2824 Ha/atom

Which formula does entry 5 have? ErIrO

Which value of N(E_F) does entry 1 give? 0.35 states/eV per atom